# Ac3Tb2Nd8

A relaxed structure of Ac3Tb2Nd8 (GGA-PBE, the Alexandria database).

Properties
Size of the total moment (μB/f.u.): 0.000
Space-group type: C2/m (12)
DFT formation energy (eV/atom): 0.254
VASP energy (eV per cell): -56.4

extended XYZ file:
```
13
Lattice="10.5032 -4.0650 0.0000 10.5032 4.0650 0.0000 -0.0022 0.0000 5.8631" Properties=species:S:1:pos:R:3 pbc="T T T"
Ac 0.0000 0.0000 0.0000
Ac 10.5021 1.7352 2.9316
Ac 10.5021 -1.7352 2.9316
Tb 5.0263 0.0000 5.8573
Tb 15.9778 0.0000 0.0059
Nd 2.8666 0.0000 2.9274
Nd 8.1012 1.6428 0.0001
Nd 6.7202 0.0000 2.9277
Nd 12.9029 1.6428 5.8630
Nd 8.1012 -1.6428 0.0001
Nd 14.2840 0.0000 2.9354
Nd 12.9029 -1.6428 5.8630
Nd 18.1375 0.0000 2.9357
```